No. 1
## ErGaSe3 (PBE)

Data for a geometry-optimized ErGaSe3 structure.

Geometry as CIF:
```
data_ErGaSe3
_cell_length_a 7.006
_cell_length_b 7.231
_cell_length_c 11.414
_cell_angle_alpha 90.00
_cell_angle_beta 119.83
_cell_angle_gamma 90.00
_space_group_name_H-M_alt 'P 1 21/c 1'
_space_group_IT_number 14
loop_
_space_group_symop_operation_xyz
'x,y,z'
'-x,-y,-z'
'-x,y+1/2,-z+1/2'
'x,-y+1/2,z+1/2'
loop_
_atom_site_label
_atom_site_type_symbol
_atom_site_fract_x
_atom_site_fract_y
_atom_site_fract_z
_atom_site_occupancy
Er1 Er 0.153 0.132 0.217 1
Ga1 Ga 0.264 0.661 0.119 1
Se1 Se 0.081 0.197 0.932 1
Se2 Se 0.245 0.668 0.904 1
Se3 Se 0.459 0.056 0.804 1
```

Output
final energy: -4.707 eV/atom


No. 2
## Er2GaSe4 (PBE)

Data for a geometry-optimized Er2GaSe4 structure.

Geometry as CIF:
```
data_Er2GaSe4
_cell_length_a 6.238
_cell_length_b 6.238
_cell_length_c 12.092
_cell_angle_alpha 90.00
_cell_angle_beta 90.00
_cell_angle_gamma 90.00
_space_group_name_H-M_alt 'I -4 2 m'
_space_group_IT_number 121
_space_group_name_Hall 'I -4 2'
loop_
_atom_site_label
_atom_site_type_symbol
_atom_site_fract_x
_atom_site_fract_y
_atom_site_fract_z
_atom_site_occupancy
Er1 Er 0.000 0.500 0.250 1
Ga1 Ga 0.000 0.000 0.000 1
Se1 Se 0.248 0.248 0.118 1
```

Output
final energy: -4.878 eV/atom


No. 3
## Er3GaSe2 (PBE)

Data for a geometry-optimized Er3GaSe2 structure.

Geometry as CIF:
```
data_Er3GaSe2
_cell_length_a 3.963
_cell_length_b 5.766
_cell_length_c 12.584
_cell_angle_alpha 90.00
_cell_angle_beta 90.00
_cell_angle_gamma 90.00
_space_group_name_H-M_alt 'I m m m'
_space_group_IT_number 71
_space_group_name_Hall '-I 2 2'
loop_
_atom_site_label
_atom_site_type_symbol
_atom_site_fract_x
_atom_site_fract_y
_atom_site_fract_z
_atom_site_occupancy
Er1 Er 0.000 0.000 0.000 1
Er2 Er 0.000 0.000 0.335 1
Ga1 Ga 0.000 0.500 0.000 1
Se1 Se 0.000 0.500 0.331 1
```

Output
final energy: -5.336 eV/atom


No. 4
## Er3GaSe6 (PBE)

Data for a geometry-optimized Er3GaSe6 structure.

Geometry as CIF:
```
data_Er3GaSe6
_cell_length_a 11.131
_cell_length_b 13.856
_cell_length_c 6.727
_cell_angle_alpha 90.00
_cell_angle_beta 90.00
_cell_angle_gamma 90.00
_space_group_name_H-M_alt 'C m c 21'
_space_group_IT_number 36
loop_
_space_group_symop_operation_xyz
'x,y,z'
'-x,-y,z+1/2'
'-x,y,z'
'x,-y,z+1/2'
'x+1/2,y+1/2,z'
'-x+1/2,-y+1/2,z+1/2'
'-x+1/2,y+1/2,z'
'x+1/2,-y+1/2,z+1/2'
loop_
_atom_site_label
_atom_site_type_symbol
_atom_site_fract_x
_atom_site_fract_y
_atom_site_fract_z
_atom_site_occupancy
Er1 Er 0.000 0.096 0.000 1
Er2 Er 0.184 0.402 0.100 1
Ga1 Ga 0.000 0.297 0.635 1
Se1 Se 0.000 0.281 0.276 1
Se2 Se 0.000 0.461 0.785 1
Se3 Se 0.163 0.034 0.298 1
Se4 Se 0.169 0.231 0.821 1
```

Output
final energy: -5.288 eV/atom


No. 5
## Er6GaSe4 (PBE)

Data for a geometry-optimized Er6GaSe4 structure.

Geometry as CIF:
```
data_Er6GaSe4
_cell_length_a 3.972
_cell_length_b 13.167
_cell_length_c 20.528
_cell_angle_alpha 90.00
_cell_angle_beta 90.00
_cell_angle_gamma 90.00
_space_group_name_H-M_alt 'C m c m'
_space_group_IT_number 63
_space_group_name_Hall '-C 2c 2'
loop_
_atom_site_label
_atom_site_type_symbol
_atom_site_fract_x
_atom_site_fract_y
_atom_site_fract_z
_atom_site_occupancy
Er1 Er 0.000 0.000 0.000 1
Er2 Er 0.000 0.164 0.250 1
Er3 Er 0.000 0.270 0.598 1
Er4 Er 0.000 0.441 0.168 1
Ga1 Ga 0.000 0.173 0.750 1
Se1 Se 0.000 0.082 0.125 1
Se2 Se 0.000 0.357 0.037 1
```

Output
final energy: -5.392 eV/atom


No. 6
## ErGaSe (PBE)

Data for a geometry-optimized ErGaSe structure.

Geometry as CIF:
```
data_ErGaSe
_cell_length_a 4.1611
_cell_length_b 4.1611
_cell_length_c 33.1573
_cell_angle_alpha 90.00
_cell_angle_beta 90.00
_cell_angle_gamma 120.00
_space_group_name_H-M_alt 'R -3 m'
_space_group_IT_number 166
_space_group_name_Hall '-R 3 2"'
loop_
_atom_site_label
_atom_site_type_symbol
_atom_site_fract_x
_atom_site_fract_y
_atom_site_fract_z
_atom_site_occupancy
Er1 Er 0.0000 0.0000 0.0703 1
Ga1 Ga 0.0000 0.0000 0.3393 1
Se1 Se 0.0000 0.0000 0.2227 1
```

Output
final energy: -4.769 eV/atom


Which value of final energy does entry 5 give? -5.392 eV/atom


What did the third record say?
## Er3GaSe2 (PBE)

Data for a geometry-optimized Er3GaSe2 structure.

Geometry as CIF:
```
data_Er3GaSe2
_cell_length_a 3.963
_cell_length_b 5.766
_cell_length_c 12.584
_cell_angle_alpha 90.00
_cell_angle_beta 90.00
_cell_angle_gamma 90.00
_space_group_name_H-M_alt 'I m m m'
_space_group_IT_number 71
_space_group_name_Hall '-I 2 2'
loop_
_atom_site_label
_atom_site_type_symbol
_atom_site_fract_x
_atom_site_fract_y
_atom_site_fract_z
_atom_site_occupancy
Er1 Er 0.000 0.000 0.000 1
Er2 Er 0.000 0.000 0.335 1
Ga1 Ga 0.000 0.500 0.000 1
Se1 Se 0.000 0.500 0.331 1
```

Output
final energy: -5.336 eV/atom


Copy entry 5 word for word.
## Er6GaSe4 (PBE)

Data for a geometry-optimized Er6GaSe4 structure.

Geometry as CIF:
```
data_Er6GaSe4
_cell_length_a 3.972
_cell_length_b 13.167
_cell_length_c 20.528
_cell_angle_alpha 90.00
_cell_angle_beta 90.00
_cell_angle_gamma 90.00
_space_group_name_H-M_alt 'C m c m'
_space_group_IT_number 63
_space_group_name_Hall '-C 2c 2'
loop_
_atom_site_label
_atom_site_type_symbol
_atom_site_fract_x
_atom_site_fract_y
_atom_site_fract_z
_atom_site_occupancy
Er1 Er 0.000 0.000 0.000 1
Er2 Er 0.000 0.164 0.250 1
Er3 Er 0.000 0.270 0.598 1
Er4 Er 0.000 0.441 0.168 1
Ga1 Ga 0.000 0.173 0.750 1
Se1 Se 0.000 0.082 0.125 1
Se2 Se 0.000 0.357 0.037 1
```

Output
final energy: -5.392 eV/atom